[1]
First-principles (PBE) data for a geometry-optimized SmSbPb2 structure, as listed in Alexandria via LeMat-Bulk.

## Properties
Density ... 9.75 g/cm3
Space group ... No. 123
Formation energy without anion corrections ... -9.24 kcal/mol of atoms
Energy above the lowest structure with this stoichiometry ... 0 meV per atom
Spin magnetization ... 0.000 μB/atom

abc: 5.3673 4.6674 4.6674
angles: 90.00 90.00 90.00
Element x y z (fractional)
Pb (0.0000, 0.5000, 0.0000)
Pb (0.0000, 0.0000, 0.5000)
Sb (0.5000, 0.0000, 0.0000)
Sm (0.5000, 0.5000, 0.5000)

---

[2]
First-principles (PBE) data for a geometry-optimized Sm3SbPb2 structure, as listed in Alexandria via LeMat-Bulk.

## Properties
Density ... 8.45 g/cm3
Space group ... No. 15
Formation energy without anion corrections ... -14.99 kcal/mol of atoms
Spin magnetization ... 0.000 μB/atom

abc: 6.3755 8.4979 8.1214
angles: 105.12 113.11 90.00
Element x y z (fractional)
Sb (0.0006, 0.2500, 0.0000)
Sb (0.9994, 0.7500, 0.0000)
Sm (0.8409, 0.9207, 0.6820)
Sm (0.8411, 0.4207, 0.6820)
Sm (0.1589, 0.5793, 0.3180)
Sm (0.1591, 0.0793, 0.3180)
Sm (0.5005, 0.2500, 0.0000)
Sm (0.4995, 0.7500, 0.0000)
Pb (0.3303, 0.4147, 0.6605)
Pb (0.6697, 0.5853, 0.3395)
Pb (0.6699, 0.0853, 0.3395)
Pb (0.3301, 0.9147, 0.6605)

---

[3]
First-principles (PBE) data for a geometry-optimized SmSb2Pb structure, as listed in Alexandria via LeMat-Bulk.

## Properties
Density ... 8.69 g/cm3
Space group ... No. 123
Formation energy without anion corrections ... -10.73 kcal/mol of atoms
Energy above the lowest structure with this stoichiometry ... 30 meV per atom
Spin magnetization ... 0.000 μB/atom

abc: 4.2443 5.2009 5.2009
angles: 90.00 90.00 90.00
Element x y z (fractional)
Sm (0.5000, 0.0000, 0.0000)
Sb (0.0000, 0.5000, 0.0000)
Sb (0.0000, 0.0000, 0.5000)
Pb (0.5000, 0.5000, 0.5000)

---

[4]
First-principles (PBE) data for a geometry-optimized Sm2SbPb structure, as listed in Alexandria via LeMat-Bulk.

## Properties
Density ... 8.85 g/cm3
Space group ... No. 123
Formation energy without anion corrections ... -15.26 kcal/mol of atoms
Energy above the lowest structure with this stoichiometry ... 201 meV per atom
Spin magnetization ... 0.000 μB/atom

abc: 3.8127 3.8127 8.1254
angles: 90.00 90.00 90.00
Element x y z (fractional)
Sm (0.0000, 0.0000, 0.2283)
Sm (0.0000, 0.0000, 0.7717)
Sb (0.5000, 0.5000, 0.0000)
Pb (0.5000, 0.5000, 0.5000)

---

[5]
First-principles (PBE) data for a geometry-optimized Sm10Sb3Pb3 structure, as listed in Alexandria via LeMat-Bulk.

## Properties
Density ... 8.46 g/cm3
Space group ... No. 189
Formation energy without anion corrections ... -17.38 kcal/mol of atoms
Spin magnetization ... 0.000 μB/atom

abc: 6.6015 9.2478 9.2478
angles: 120.00 90.00 90.00
Element x y z (fractional)
Sm (0.2464, 0.3333, 0.6667)
Sm (0.2464, 0.6667, 0.3333)
Sm (0.7536, 0.3333, 0.6667)
Sm (0.5000, 0.2423, 0.2423)
Sm (0.0000, 0.7572, 0.7572)
Sm (0.0000, 0.2428, 0.0000)
Sm (0.5000, 0.7577, 0.0000)
Sm (0.5000, 0.0000, 0.7577)
Sm (0.0000, 0.0000, 0.2428)
Sm (0.7536, 0.6667, 0.3333)
Pb (0.5000, 0.0000, 0.3920)
Pb (0.5000, 0.6080, 0.6080)
Pb (0.5000, 0.3920, 0.0000)
Sb (0.0000, 0.3892, 0.3892)
Sb (0.0000, 0.0000, 0.6108)
Sb (0.0000, 0.6108, 0.0000)

---

[6]
First-principles (PBE) data for a geometry-optimized SmSb2Pb structure, as listed in Alexandria via LeMat-Bulk.

## Properties
Density ... 7.59 g/cm3
Space group ... No. 166
Formation energy without anion corrections ... -10.23 kcal/mol of atoms
Energy above the lowest structure with this stoichiometry ... 51 meV per atom
Spin magnetization ... 0.000 μB/atom

abc: 4.4186 4.4186 8.1818
angles: 74.33 74.33 60.00
Element x y z (fractional)
Sb (0.7535, 0.7535, 0.7394)
Sb (0.2465, 0.2465, 0.2606)
Sm (0.5000, 0.5000, 0.5000)
Pb (0.0000, 0.0000, 0.0000)

---

[7]
First-principles (PBE) data for a geometry-optimized Sm2SbPb structure, as listed in Alexandria via LeMat-Bulk.

## Properties
Density ... 8.34 g/cm3
Space group ... No. 63
Formation energy without anion corrections ... -19.90 kcal/mol of atoms
Energy above the lowest structure with this stoichiometry ... 0 meV per atom
Spin magnetization ... 0.000 μB/atom

abc: 4.4655 4.5709 12.4883
angles: 100.54 90.00 90.00
Element x y z (fractional)
Sm (0.7500, 0.6860, 0.3720)
Sm (0.2500, 0.3140, 0.6280)
Sm (0.7500, 0.9367, 0.8735)
Sm (0.2500, 0.0633, 0.1265)
Pb (0.2500, 0.4515, 0.9030)
Pb (0.7500, 0.5485, 0.0970)
Sb (0.7500, 0.8123, 0.6246)
Sb (0.2500, 0.1877, 0.3754)

---

[8]
First-principles (PBE) data for a geometry-optimized Sm8SbPb2 structure, as listed in Alexandria via LeMat-Bulk.

## Properties
Density ... 8.09 g/cm3
Space group ... No. 12
Formation energy without anion corrections ... -8.25 kcal/mol of atoms
Spin magnetization ... 0.000 μB/atom

abc: 5.0820 7.1783 10.2605
angles: 99.73 104.34 90.00
Element x y z (fractional)
Sb (0.5000, 0.0000, 0.0000)
Sm (0.7863, 0.6531, 0.5726)
Sm (0.3415, 0.9765, 0.6829)
Sm (0.9807, 0.2410, 0.9614)
Sm (0.5934, 0.4853, 0.1868)
Sm (0.2137, 0.3469, 0.4274)
Sm (0.4066, 0.5147, 0.8132)
Sm (0.6585, 0.0235, 0.3171)
Sm (0.0193, 0.7590, 0.0386)
Pb (0.8181, 0.2244, 0.6362)
Pb (0.1819, 0.7756, 0.3638)

---

[9]
First-principles (PBE) data for a geometry-optimized Sm2SbPb structure, as listed in Alexandria via LeMat-Bulk.

## Properties
Density ... 8.02 g/cm3
Space group ... No. 160
Formation energy without anion corrections ... -16.36 kcal/mol of atoms
Energy above the lowest structure with this stoichiometry ... 153 meV per atom
Spin magnetization ... 0.000 μB/atom

abc: 4.2519 4.2519 8.6817
angles: 75.83 75.83 60.00
Element x y z (fractional)
Sm (0.2576, 0.2576, 0.2272)
Sm (0.0757, 0.0757, 0.7729)
Sb (0.6677, 0.6677, 0.9969)
Pb (0.4990, 0.4990, 0.5029)

---

[10]
First-principles (PBE) data for a geometry-optimized SmSb2Pb structure, as listed in Alexandria via LeMat-Bulk.

## Properties
Density ... 8.58 g/cm3
Space group ... No. 123
Formation energy without anion corrections ... -11.42 kcal/mol of atoms
Energy above the lowest structure with this stoichiometry ... 0 meV per atom
Spin magnetization ... 0.000 μB/atom

abc: 4.1883 4.1883 6.6349
angles: 90.00 90.00 90.00
Element x y z (fractional)
Sb (0.0000, 0.0000, 0.7317)
Sb (0.0000, 0.0000, 0.2683)
Sm (0.5000, 0.5000, 0.5000)
Pb (0.5000, 0.5000, 0.0000)

---

[11]
First-principles (PBE) data for a geometry-optimized SmSb2Pb structure, as listed in Alexandria via LeMat-Bulk.

## Properties
Density ... 7.40 g/cm3
Space group ... No. 160
Formation energy without anion corrections ... -9.43 kcal/mol of atoms
Energy above the lowest structure with this stoichiometry ... 86 meV per atom
Spin magnetization ... 0.000 μB/atom

abc: 4.6093 4.6093 7.8027
angles: 72.82 72.82 60.00
Element x y z (fractional)
Pb (0.4966, 0.4966, 0.5102)
Sm (0.6678, 0.6678, 0.9967)
Sb (0.2568, 0.2568, 0.2295)
Sb (0.0788, 0.0788, 0.7637)

---

[12]
First-principles (PBE) data for a geometry-optimized Sm5Sb2Pb2 structure, as listed in Alexandria via LeMat-Bulk.

## Properties
Density ... 8.43 g/cm3
Space group ... No. 64
Formation energy without anion corrections ... -18.72 kcal/mol of atoms
Spin magnetization ... 0.000 μB/atom

abc: 8.4068 8.3712 8.9344
angles: 117.94 90.00 90.00
Element x y z (fractional)
Sb (0.1406, 0.6398, 0.0000)
Sb (0.8594, 0.3602, 0.0000)
Sb (0.6406, 0.8602, 0.0000)
Sb (0.3594, 0.1398, 0.0000)
Sm (0.6619, 0.0297, 0.7306)
Sm (0.3381, 0.7008, 0.7306)
Sm (0.1619, 0.2008, 0.7306)
Sm (0.8381, 0.7992, 0.2694)
Sm (0.3381, 0.9703, 0.2694)
Sm (0.8381, 0.5297, 0.7306)
Sm (0.0000, 0.0000, 0.0000)
Sm (0.6619, 0.2992, 0.2694)
Sm (0.5000, 0.5000, 0.0000)
Sm (0.1619, 0.4703, 0.2694)
Pb (0.5000, 0.2962, 0.5925)
Pb (0.0000, 0.7962, 0.5925)
Pb (0.5000, 0.7038, 0.4075)
Pb (0.0000, 0.2038, 0.4075)